NaEr2WO6, relaxed, DFT GGA+U; total energy = -7.54 eV per atom; spin magnetization = 1.0 μB per formula unit; volume = 13.9 Å³ per atom
1.0
5.6072 0.0000 0.0000
2.7974 4.9068 0.0000
2.7252 1.6808 5.0356
Na Er W O
1 2 1 6
direct
0.0000 0.0000 0.0000
0.2190 0.2097 0.3443
0.7251 0.7303 0.8206
0.5185 0.5241 0.4314
0.1475 0.7802 0.6294
0.3449 0.5879 0.1721
0.4279 0.1529 0.6305
0.5869 0.8993 0.1585
0.7659 0.4416 0.6246
0.8915 0.3457 0.1654